The following is a DFT calculation (PBE) of a geometry-optimized AcMnSb structure.

Summary:
As for the total DFT energy (no corrections): -6.034 eV/atom. The calculation puts the theoretical density at 7.933 Mg/m³.

Lattice parameters (Å, degrees): 8.1600 8.1600 7.1174 108.10 108.10 117.26
Each line ends with the local moment (μB).
Positions (direct):
Sb 0.0819 0.9181 0.5000  -0.04
Mn 0.1261 0.1261 0.2523  3.53
Ac 0.6250 0.3750 0.2500  -0.10
Mn 0.8739 0.8739 0.7477  3.53
Mn 0.3761 0.8761 0.7523  3.53
Sb 0.8319 0.1681 0.0000  -0.04
Ac 0.6250 0.8750 0.2500  -0.10
Sb 0.4181 0.5819 0.5000  -0.04
Ac 0.1250 0.3750 0.7500  -0.10
Mn 0.1239 0.6239 0.2477  3.53
Sb 0.1681 0.8319 0.0000  -0.04
Ac 0.6250 0.3750 0.7500  -0.10

The following is a DFT calculation (PBE) of a geometry-optimized EuHoZnRh structure.

Summary:
As for the total DFT energy (no corrections): -6.301 eV/atom. The calculation puts the theoretical density at 9.125 Mg/m³. The value obtained for the formation enthalpy at 0 K is -432 meV per atom.

Lattice parameters (Å, degrees): 4.9982 4.9982 4.9982 60.00 60.00 60.00
Each line ends with the local moment (μB).
Positions (direct):
Rh 0.2500 0.2500 0.2500  -0.08
Ho 0.0000 0.0000 0.0000  0.02
Zn 0.7500 0.7500 0.7500  0.00
Eu 0.5000 0.5000 0.5000  6.73

The following is a DFT calculation (PBE) of a geometry-optimized Rb3Cd2Sb4Pb2 structure.

Summary:
As for the total DFT energy (no corrections): -2.882 eV/atom. The calculation puts the theoretical density at 5.178 Mg/m³.

Lattice parameters (Å, degrees): 5.0506 5.0506 20.0724 90.00 90.00 120.00
Positions (direct):
Cd 0.6667 0.3333 0.8642
Sb 0.3333 0.6667 0.8634
Cd 0.3333 0.6667 0.1358
Pb 0.6667 0.3333 0.4449
Sb 0.6667 0.3333 0.1366
Rb 0.0000 0.0000 0.2699
Sb 0.6667 0.3333 0.6037
Rb 0.0000 0.0000 0.7301
Pb 0.3333 0.6667 0.5551
Rb 0.0000 0.0000 0.0000
Sb 0.3333 0.6667 0.3963

The following is a DFT calculation (PBE) of a geometry-optimized Si5Hg3Te12 structure.

Summary:
As for the total DFT energy (no corrections): -3.099 eV/atom. The calculation puts the theoretical density at 6.111 Mg/m³.

Lattice parameters (Å, degrees): 14.7513 14.7513 14.7513 109.47 109.47 109.47
Positions (direct):
Te 0.9130 0.8184 0.5303
Te 0.4130 0.0303 0.3184
Te 0.8827 0.5946 0.9130
Si 0.8750 0.2500 0.6250
Te 0.7119 0.5946 0.1816
Te 0.0946 0.1816 0.2119
Te 0.7881 0.4697 0.3827
Te 0.8827 0.2881 0.4697
Te 0.6816 0.2119 0.5946
Te 0.0870 0.9054 0.1173
Te 0.2119 0.6816 0.0946
Hg 0.1250 0.8750 0.7500
Si 0.5000 0.5000 0.0000
Te 0.5946 0.8827 0.4130
Si 0.7500 0.6250 0.3750
Te 0.2119 0.5303 0.6173
Si 0.5000 0.0000 0.5000
Hg 0.3750 0.6250 0.2500
Hg 0.6250 0.3750 0.7500
Te 0.2881 0.4054 0.8184
Te 0.0303 0.6173 0.7119
Te 0.5870 0.9697 0.6816
Si 0.0000 0.0000 0.0000
Si 0.0000 0.0000 0.5000
Si 0.2500 0.8750 0.1250
Te 0.4054 0.1173 0.5870
Hg 0.8750 0.1250 0.2500
Te 0.5303 0.3184 0.9130
Te 0.7119 0.1173 0.0303
Te 0.1816 0.0946 0.7119
Hg 0.8750 0.7500 0.1250
Te 0.0946 0.9130 0.3827
Te 0.9697 0.5870 0.1816
Te 0.5303 0.2119 0.1173
Te 0.7881 0.3184 0.9054
Te 0.3827 0.9697 0.7881
Si 0.0000 0.5000 0.0000
Hg 0.7500 0.8750 0.6250
Te 0.4697 0.6816 0.0870
Te 0.6816 0.4697 0.5870
Si 0.5000 0.0000 0.0000
Te 0.4697 0.7881 0.8827
Te 0.9130 0.0946 0.8827
Hg 0.3750 0.7500 0.6250
Si 0.7500 0.1250 0.8750
Te 0.8184 0.9130 0.0303
Si 0.2500 0.3750 0.6250
Te 0.6173 0.0303 0.2119
Te 0.1816 0.0870 0.9697
Te 0.0870 0.1816 0.4697
Si 0.8750 0.6250 0.7500
Te 0.0303 0.4130 0.8184
Hg 0.7500 0.3750 0.1250
Te 0.1173 0.7119 0.5303
Hg 0.2500 0.6250 0.8750
Te 0.2881 0.8827 0.9697
Si 0.0000 0.5000 0.5000
Hg 0.2500 0.1250 0.3750
Te 0.9697 0.3827 0.2881
Te 0.3184 0.7881 0.4054
Te 0.5870 0.6173 0.4054
Si 0.6250 0.8750 0.2500
Te 0.8184 0.9054 0.2881
Te 0.5946 0.7119 0.6816
Si 0.6250 0.7500 0.8750
Te 0.9054 0.0870 0.6173
Si 0.1250 0.7500 0.3750
Te 0.3184 0.5303 0.4130
Te 0.6173 0.5870 0.9054
Hg 0.1250 0.2500 0.8750
Si 0.3750 0.2500 0.1250
Te 0.4130 0.3827 0.5946
Hg 0.6250 0.2500 0.3750
Te 0.1173 0.4054 0.0870
Si 0.5000 0.5000 0.5000
Te 0.9054 0.8184 0.7881
Te 0.4054 0.2881 0.3184
Si 0.1250 0.3750 0.2500
Te 0.3827 0.4130 0.0946
Si 0.3750 0.1250 0.7500

The following is a DFT calculation (PBE) of a geometry-optimized KCdIn2I6 structure.

Summary:
As for the total DFT energy (no corrections): -2.326 eV/atom. The calculation puts the theoretical density at 4.340 Mg/m³.

Lattice parameters (Å, degrees): 8.0676 8.0680 9.0484 89.99 116.48 120.01
Positions (direct):
I 0.4381 0.0730 0.1566
In 0.6030 0.8010 0.3895
K 0.9962 0.4976 0.4800
In 0.6260 0.3124 0.9242
Cd 0.9706 0.9849 0.9414
I 0.8070 0.7326 0.1569
I 0.5288 0.9427 0.6987
I 0.1279 0.1844 0.6991
I 0.0978 0.3637 0.1571
I 0.7703 0.5854 0.6989

The following is a DFT calculation (PBE) of a geometry-optimized ScAs2SeCl structure.

Summary:
As for the total DFT energy (no corrections): -3.758 eV/atom. The calculation puts the theoretical density at 4.415 Mg/m³.

Lattice parameters (Å, degrees): 4.7950 4.7950 5.0582 90.00 90.00 90.00
Positions (direct):
Sc 0.5000 0.5000 0.5000
Cl 0.0000 0.0000 0.0000
Se 0.0000 0.0000 0.5000
As 0.0000 0.5000 0.0000
As 0.5000 0.0000 0.0000

Which value of total DFT energy (no corrections) does entry 4 give?
-3.099 eV/atom

Number 5 is which compound?
KCdIn2I6

Which of these has the lowest total DFT energy (no corrections)?
EuHoZnRh

Look up the total DFT energy (no corrections) of the fifth one.
-2.326 eV/atom